1.
VASP calculation (PBE-GGA) on a relaxed structure of KZn2F6.

abc: 5.2414 5.2414 5.2482
angles: 90.00 90.00 120.00
Sites, in units of the cell vectors:
K (0.0000, 0.0000, 0.0000)
Zn (0.6667, 0.3333, 0.5000)
F (0.3849, 0.0000, 0.7133)
Zn (0.3333, 0.6667, 0.5000)
F (0.0000, 0.6151, 0.2867)
F (0.3849, 0.3849, 0.2867)
F (0.6151, 0.6151, 0.7133)
F (0.0000, 0.3849, 0.7133)
F (0.6151, 0.0000, 0.2867)

Calculated values
Its energy is -3.81 eV per atom. For the calculated volume, the calculation gives 13.87 Å³/atom.



2.
VASP calculation (PBE-GGA) on a relaxed structure of Cu7Ag3.

abc: 5.8099 5.8099 8.9321
angles: 99.31 99.31 27.41
Sites, in units of the cell vectors:
Cu (0.5926, 0.5926, 0.8035)
Cu (0.9907, 0.9907, 0.9955)
Cu (0.3080, 0.3080, 0.8925)
Ag (0.2037, 0.2037, 0.6058)
Ag (0.7009, 0.7009, 0.0877)
Cu (0.3986, 0.3986, 0.1950)
Cu (0.9081, 0.9081, 0.7063)
Cu (0.4905, 0.4905, 0.5117)
Cu (0.8123, 0.8123, 0.3959)
Ag (0.0946, 0.0946, 0.3061)

Calculated values
Its excess energy over the best structure of this formula in the dataset is 38 kJ/mol of formula units. Its energy is -3.37 eV per atom. The calculation puts the energy of formation at 0.084 eV per atom. For the calculated volume, the calculation gives 13.69 Å³/atom.



3.
VASP calculation (PBE-GGA) on a relaxed structure of SrTm2O4.

abc: 6.8089 6.8089 6.8089
angles: 119.99 90.01 119.99
Sites, in units of the cell vectors:
O (0.1424, 0.2848, 0.4272)
Tm (0.3750, 0.2500, 0.6250)
Tm (0.3750, 0.7500, 0.1250)
O (0.1772, 0.7848, 0.3924)
O (0.1424, 0.7152, 0.8575)
O (0.6076, 0.7848, 0.3925)
O (0.6076, 0.2152, 0.8228)
O (0.6075, 0.2152, 0.3924)
Tm (0.3750, 0.7500, 0.6250)
Sr (0.7500, 0.5000, 0.2500)
O (0.1425, 0.2848, 0.8576)
Tm (0.8750, 0.2500, 0.6250)
O (0.5728, 0.7152, 0.8576)
Sr (0.0000, 0.0000, 0.0000)

Calculated values
Its excess energy over the best structure of this formula in the dataset is 3 kJ/mol of formula units. Its energy is -7.75 eV per atom. For the calculated volume, the calculation gives 15.95 Å³/atom.



4.
VASP calculation (PBE-GGA) on a relaxed structure of Cu3Pt.

abc: 3.7119 3.7119 3.7119
angles: 90.00 90.00 90.00
Sites, in units of the cell vectors:
Cu (0.5000, 0.0000, 0.5000)
Cu (0.0000, 0.5000, 0.5000)
Pt (0.0000, 0.0000, 0.0000)
Cu (0.5000, 0.5000, 0.0000)

Calculated values
Its energy is -4.44 eV per atom. The calculation puts the energy of formation at -0.140 eV per atom. For the calculated volume, the calculation gives 12.79 Å³/atom.